# 1
The following is a GGA-PBEsol calculation of a geometry-optimized Ho2ZnAg structure, from Alexandria.

a b c (Å): 4.9807 4.9807 4.9807
angles (deg): 60.00 60.00 60.00
Last column: nearest neighbours and their distance in Å.
Fractional coordinates of all 4 atoms:
Ho (0.2500, 0.2500, 0.2500)  4 Ag 3.05, 4 Zn 3.05
Ho (0.7500, 0.7500, 0.7500)  4 Zn 3.05, 4 Ag 3.05
Zn (0.0000, 0.0000, 0.0000)  8 Ho 3.05
Ag (0.5000, 0.5000, 0.5000)  8 Ho 3.05

Summary:
- Energy of formation: -331 meV per atom

---

# 2
The following is a GGA-PBEsol calculation of a geometry-optimized Zr6Ga2Ni structure, from Alexandria.

a b c (Å): 7.7385 7.7385 3.3440
angles (deg): 90.00 90.00 120.00
Last column: nearest neighbours and their distance in Å.
Fractional coordinates of all 9 atoms:
Zr (0.0000, 0.4045, 0.0000)  4 Ga 2.89, 6 Zr 3.12-3.21, 1 Ni 3.13
Zr (0.0000, 0.7453, 0.5000)  2 Ni 2.58
Zr (0.2547, 0.2547, 0.5000)  2 Ni 2.58
Zr (0.4045, 0.0000, 0.0000)  4 Ga 2.89, 6 Zr 3.12-3.21, 1 Ni 3.13
Zr (0.5955, 0.5955, 0.0000)  4 Ga 2.89, 6 Zr 3.12-3.21, 1 Ni 3.13
Zr (0.7453, 0.0000, 0.5000)  2 Ni 2.58
Ga (0.3333, 0.6667, 0.5000)  9 Zr 2.89-2.93
Ga (0.6667, 0.3333, 0.5000)  9 Zr 2.89-2.93
Ni (0.0000, 0.0000, 0.0000)  6 Zr 2.58

Summary:
- Energy of formation: -437 meV per atom

---

# 3
The following is a GGA-PBEsol calculation of a geometry-optimized NaZrCuSe3 structure, from Alexandria.

a b c (Å): 13.4716 3.8032 10.1769
angles (deg): 90.00 90.00 90.00
Last column: nearest neighbours and their distance in Å.
Fractional coordinates of all 24 atoms:
Na (0.2279, 0.2500, 0.0470)  6 Se 2.96-3.07
Na (0.2721, 0.7500, 0.5470)  6 Se 2.96-3.07
Na (0.7279, 0.2500, 0.4530)  6 Se 2.96-3.07
Na (0.7721, 0.7500, 0.9530)  6 Se 2.96-3.07
Zr (0.0110, 0.2500, 0.3218)  6 Se 2.61-2.78
Zr (0.4890, 0.7500, 0.8218)  6 Se 2.61-2.78
Zr (0.5110, 0.2500, 0.1782)  6 Se 2.61-2.78
Zr (0.9890, 0.7500, 0.6782)  6 Se 2.61-2.78
Cu (0.0079, 0.7500, 0.0921)  4 Se 2.41-2.51, 2 Cu 2.68
Cu (0.4921, 0.2500, 0.5921)  4 Se 2.41-2.51, 2 Cu 2.68
Cu (0.5079, 0.7500, 0.4079)  4 Se 2.41-2.51, 2 Cu 2.68
Cu (0.9921, 0.2500, 0.9079)  4 Se 2.41-2.51, 2 Cu 2.68
Se (0.1039, 0.2500, 0.5652)  3 Zr 2.71-2.78, 2 Na 2.96
Se (0.1058, 0.7500, 0.8826)  3 Cu 2.45-2.51, 1 Zr 2.61
Se (0.1399, 0.7500, 0.2525)  1 Cu 2.41, 2 Zr 2.67
Se (0.3601, 0.2500, 0.7525)  1 Cu 2.41, 2 Zr 2.67
Se (0.3942, 0.2500, 0.3826)  3 Cu 2.45-2.51, 1 Zr 2.61
Se (0.3961, 0.7500, 0.0652)  3 Zr 2.71-2.78, 2 Na 2.96
Se (0.6039, 0.2500, 0.9348)  3 Zr 2.71-2.78, 2 Na 2.96
Se (0.6058, 0.7500, 0.6174)  3 Cu 2.45-2.51, 1 Zr 2.61
Se (0.6399, 0.7500, 0.2475)  1 Cu 2.41, 2 Zr 2.67
Se (0.8601, 0.2500, 0.7475)  1 Cu 2.41, 2 Zr 2.67
Se (0.8942, 0.2500, 0.1174)  3 Cu 2.45-2.51, 1 Zr 2.61
Se (0.8961, 0.7500, 0.4348)  3 Zr 2.71-2.78, 2 Na 2.96

Summary:
- E_form (uncorrected): -1.07 eV per atom

---

# 4
The following is a GGA-PBEsol calculation of a geometry-optimized ZrCl structure, from Alexandria.

a b c (Å): 3.2923 3.2923 9.3072
angles (deg): 90.00 90.00 120.00
Last column: nearest neighbours and their distance in Å.
Fractional coordinates of all 4 atoms:
Zr (0.3333, 0.6667, 0.1344)  3 Cl 2.60
Zr (0.6667, 0.3333, 0.8656)  3 Cl 2.60
Cl (0.3333, 0.6667, 0.6743)  3 Zr 2.60
Cl (0.6667, 0.3333, 0.3257)  3 Zr 2.60

Summary:
- E_form (uncorrected): -1.28 eV per atom

---

# 5
The following is a GGA-PBEsol calculation of a geometry-optimized ScTa2Rh structure, from Alexandria.

a b c (Å): 3.1614 3.1614 6.9005
angles (deg): 90.00 90.00 90.00
Last column: nearest neighbours and their distance in Å.
Fractional coordinates of all 4 atoms:
Sc (0.0000, 0.0000, 0.0000)  4 Rh 2.83, 4 Ta 2.93, 4 Sc 3.16
Ta (0.0000, 0.0000, 0.5298)  4 Rh 2.70, 4 Ta 2.85
Ta (0.5000, 0.5000, 0.2739)  8 Ta 2.85-3.16, 4 Sc 2.93
Rh (0.5000, 0.5000, 0.7482)  4 Ta 2.70, 4 Sc 2.83

Summary:
- Energy above the most stable polymorph in this dataset: 0 meV/atom
- Energy of formation: -257 meV per atom

---

# 6
The following is a GGA-PBEsol calculation of a geometry-optimized LaSc2Fe structure, from Alexandria.

a b c (Å): 9.5064 9.5064 9.5064
angles (deg): 20.07 20.07 20.07
Last column: nearest neighbours and their distance in Å.
Fractional coordinates of all 4 atoms:
La (0.0000, 0.0000, 0.0000)  6 La 3.31, 6 Sc 3.55
Sc (0.2263, 0.2263, 0.2263)  3 Fe 2.54
Sc (0.7737, 0.7737, 0.7737)  3 Fe 2.54
Fe (0.5000, 0.5000, 0.5000)  6 Sc 2.54

Summary:
- Energy above the most stable polymorph in this dataset: 201 meV/atom
- Energy of formation: 161 meV per atom

---

# 7
The following is a GGA-PBEsol calculation of a geometry-optimized LaHgAu2 structure, from Alexandria.

a b c (Å): 4.9967 4.9967 4.9967
angles (deg): 60.00 60.00 60.00
Last column: nearest neighbours and their distance in Å.
Fractional coordinates of all 4 atoms:
La (0.0000, 0.0000, 0.0000)  4 Au 3.06, 4 Hg 3.06
Hg (0.2500, 0.2500, 0.2500)  4 La 3.06, 4 Au 3.06
Au (0.5000, 0.5000, 0.5000)  4 Hg 3.06, 4 Au 3.06
Au (0.7500, 0.7500, 0.7500)  4 La 3.06, 4 Au 3.06

Summary:
- Energy of formation: -551 meV per atom

---

# 8
The following is a GGA-PBEsol calculation of a geometry-optimized PrMo6Se8 structure, from Alexandria.

a b c (Å): 6.7072 6.7072 6.7072
angles (deg): 88.37 88.37 88.37
Last column: nearest neighbours and their distance in Å.
Fractional coordinates of all 15 atoms:
Pr (0.0000, 0.0000, 0.0000)  8 Se 2.89-3.09
Mo (0.2341, 0.4229, 0.5620)  5 Se 2.50-2.71, 4 Mo 2.67-2.72
Mo (0.4229, 0.5620, 0.2341)  5 Se 2.50-2.71, 4 Mo 2.67-2.72
Mo (0.4380, 0.7659, 0.5771)  5 Se 2.50-2.71, 4 Mo 2.67-2.72
Mo (0.5620, 0.2341, 0.4229)  5 Se 2.50-2.71, 4 Mo 2.67-2.72
Mo (0.5771, 0.4380, 0.7659)  5 Se 2.50-2.71, 4 Mo 2.67-2.72
Mo (0.7659, 0.5771, 0.4380)  5 Se 2.50-2.71, 4 Mo 2.67-2.72
Se (0.1202, 0.7571, 0.3779)  4 Mo 2.55-2.71
Se (0.2416, 0.2416, 0.2416)  3 Mo 2.50
Se (0.2429, 0.6221, 0.8798)  4 Mo 2.55-2.71
Se (0.3779, 0.1202, 0.7571)  4 Mo 2.55-2.71
Se (0.6221, 0.8798, 0.2429)  4 Mo 2.55-2.71
Se (0.7571, 0.3779, 0.1202)  4 Mo 2.55-2.71
Se (0.7584, 0.7584, 0.7584)  3 Mo 2.50
Se (0.8798, 0.2429, 0.6221)  4 Mo 2.55-2.71

Summary:
- E_form (uncorrected): -0.76 eV per atom